## PuReAu (PBE)

Data for crystalline PuReAu at its relaxed geometry. Values from VASP.

Computed properties:
**Total magnetic moment**: 0.005 μB/cell
**ΔH_f (0 K)**: 124.0 kJ per mole of atoms
**Crystal system**: cubic
**ρ**: 15.4 g cm⁻³

The structure in Quantum ESPRESSO input format:
```
&SYSTEM
  ibrav = 0, nat = 3, ntyp = 3
/
ATOMIC_SPECIES
Pu 244.00 Pu.upf
Re 186.21 Re.upf
Au 196.97 Au.upf
ATOMIC_POSITIONS crystal
Pu 0.0000 0.0000 0.0000
Re 0.2500 0.2500 0.2500
Au 0.7500 0.7500 0.7500
CELL_PARAMETERS angstrom
0.0000 3.2314 3.2314
3.2314 0.0000 3.2314
3.2314 3.2314 0.0000
```